Entry 1:
Computed, not measured: a relaxed Sm2Rh3Pb5 crystal at the GGA-PBE level of DFT.

As for the density of states at the Fermi level: 0.5758 states/eV/atom. Its total energy is -5.405 eV/atom. For the formation energy, the calculation gives -401.9 meV/atom.

The structure belongs to space group Cmc2_1 (No. 36); the cell edges are 4.5746, 27.5941 and 7.4781 Å and the angles 90.00°, 90.00° and 90.00°. The asymmetric unit holds Sm at (0.0000, 0.0256, 0.0000), Sm at (0.0000, 0.3297, 0.9583), Rh at (0.0000, 0.1051, 0.2472), Rh at (0.0000, 0.2772, 0.4593), Rh at (0.0000, 0.4519, 0.2204), Pb at (0.0000, 0.0954, 0.6222), Pb at (0.0000, 0.2047, 0.1765), Pb at (0.0000, 0.2089, 0.7435), Pb at (0.0000, 0.3787, 0.4920) and Pb at (0.0000, 0.4525, 0.8350).

---

Entry 2:
Computed, not measured: a relaxed Pr8Ge3HSe4 crystal at the GGA-PBE level of DFT.

As for the density of states at the Fermi level: 0.2802 states/eV/atom. Its total energy is -5.638 eV/atom.

The structure belongs to space group R-3m (No. 166, hexagonal axes); the cell edges are 8.5302, 8.5302 and 21.0071 Å and the angles 90.00°, 90.00° and 120.00°. The asymmetric unit holds Pr at (0.0000, 0.0000, 0.2475), Pr at (0.0052, 0.5026, 0.7522), Ge at (0.0000, 0.5000, 0.5000), H at (0.0000, 0.0000, 0.5000), Se at (0.0000, 0.0000, 0.0000) and Se at (0.0000, 0.5000, 0.0000).

---

Entry 3:
Computed, not measured: a relaxed Mg8Ag2Ir crystal at the GGA-PBE level of DFT.

As for the density of states at the Fermi level: 0.3683 states/eV/atom. Its total energy is -2.675 eV/atom. For the formation energy, the calculation gives -190.9 meV/atom.

The structure belongs to space group C2/m (No. 12); the cell edges are 15.1264, 4.6221 and 6.7614 Å and the angles 90.00°, 113.37° and 90.00°. The asymmetric unit holds Mg at (0.0206, 0.0000, 0.2823), Mg at (0.1085, 0.5000, 0.9240), Mg at (0.1598, 0.5000, 0.4181), Mg at (0.1752, 0.0000, 0.7293), Ag at (0.1864, 0.0000, 0.1695) and Ir at (0.0000, 0.5000, 0.5000).

---

Entry 4:
Computed, not measured: a relaxed LiInRe2 crystal at the GGA-PBE level of DFT.

As for the density of states at the Fermi level: 0.4298 states/eV/atom. Its total energy is -7.062 eV/atom. For the formation energy, the calculation gives 325.4 meV/atom.

The structure belongs to space group C2/m (No. 12); the cell edges are 10.1697, 3.1627 and 4.2710 Å and the angles 90.00°, 114.54° and 90.00°. The asymmetric unit holds Li at (0.0000, 0.0000, 0.0000), In at (0.0000, 0.5000, 0.5000) and Re at (0.2465, 0.5000, 0.2464).

---

Entry 5:
Computed, not measured: a relaxed KBPb crystal at the GGA-PBE level of DFT.

As for the density of states at the Fermi level: 0.2242 states/eV/atom. Its total energy is -3.451 eV/atom. Its distance to the lowest polymorph of the same formula is 0.2391 eV per atom. For the formation energy, the calculation gives 377.1 meV/atom.

The structure belongs to space group P1 (No. 1); the cell edges are 5.6514, 5.9171 and 6.4474 Å and the angles 107.18°, 93.04° and 112.58°. The asymmetric unit holds K at (0.0000, 0.0000, 0.0000), K at (0.2528, 0.4434, 0.6530), B at (0.0680, 0.8143, 0.4761), B at (0.8198, 0.8647, 0.5016), Pb at (0.4573, 0.8856, 0.3313) and Pb at (0.7028, 0.4499, 0.1860).

---

Entry 6:
Computed, not measured: a relaxed Ho3Mg4Pt4 crystal at the GGA-PBE level of DFT.

As for the density of states at the Fermi level: 0.4996 states/eV/atom. Its total energy is -4.949 eV/atom. For the formation energy, the calculation gives -924.5 meV/atom.

The structure belongs to space group Immm (No. 71); the cell edges are 3.8432, 8.0193 and 14.9313 Å and the angles 90.00°, 90.00° and 90.00°. The asymmetric unit holds Ho at (0.0000, 0.0000, 0.0000), Ho at (0.0000, 0.5000, 0.1111), Mg at (0.0000, 0.3088, 0.3275), Pt at (0.0000, 0.0000, 0.2416) and Pt at (0.0000, 0.2050, 0.5000).

---

Please write out number 1 again, unchanged.
Computed, not measured: a relaxed Sm2Rh3Pb5 crystal at the GGA-PBE level of DFT.

As for the density of states at the Fermi level: 0.5758 states/eV/atom. Its total energy is -5.405 eV/atom. For the formation energy, the calculation gives -401.9 meV/atom.

The structure belongs to space group Cmc2_1 (No. 36); the cell edges are 4.5746, 27.5941 and 7.4781 Å and the angles 90.00°, 90.00° and 90.00°. The asymmetric unit holds Sm at (0.0000, 0.0256, 0.0000), Sm at (0.0000, 0.3297, 0.9583), Rh at (0.0000, 0.1051, 0.2472), Rh at (0.0000, 0.2772, 0.4593), Rh at (0.0000, 0.4519, 0.2204), Pb at (0.0000, 0.0954, 0.6222), Pb at (0.0000, 0.2047, 0.1765), Pb at (0.0000, 0.2089, 0.7435), Pb at (0.0000, 0.3787, 0.4920) and Pb at (0.0000, 0.4525, 0.8350).